[1]
A relaxed structure of ZnCu6Au8, computed with PBE.

a = 7.3981 Å, b = 7.3981 Å, c = 15.9350 Å
α = 90.00°, β = 90.00°, γ = 120.00°
Closest atoms and distances in Å follow each position.
Space group R-3 (No. 148, hexagonal axes)
Unique sites:
Zn: 0.0000 0.0000 0.0000 x3  6 Cu 2.52
Cu: 0.9998 0.3231 0.9497 x18  1 Zn 2.52, 7 Au 2.62-2.73
Au: 0.0000 0.0000 0.3341 x6  6 Cu 2.62-2.63
Au: 0.0016 0.6641 0.8832 x18  5 Cu 2.65-2.73, 3 Au 2.93-2.94

Properties
Total moment: 0.00 μB/cell
E_form: 0.0169 eV per atom
Excess energy over the best structure of this formula in the dataset: 0 meV/atom
E: -155.45 eV/cell

---

[2]
A relaxed structure of ZnCu14Au, computed with PBE.

a = 8.4488 Å, b = 5.2425 Å, c = 9.0527 Å
α = 90.00°, β = 90.00°, γ = 90.00°
Closest atoms and distances in Å follow each position.
Space group Amm2 (No. 38)
Unique sites:
Zn: 0.0000 0.0000 0.0000 x2  10 Cu 2.61-2.65, 2 Au 2.62
Cu: 0.0000 0.2499 0.2496 x4  2 Zn 2.61-2.62, 8 Cu 2.61-2.65, 2 Au 2.61-2.62
Cu: 0.2527 0.0000 0.8315 x4  11 Cu 2.57-2.63, 1 Zn 2.62
Cu: 0.2573 0.0000 0.3294 x4  11 Cu 2.53-2.66, 1 Au 2.67
Cu: 0.2583 0.2464 0.0842 x8  10 Cu 2.53-2.66, 1 Zn 2.65, 1 Au 2.67
Cu: 0.5000 0.0000 0.1653 x2  12 Cu 2.53-2.62
Cu: 0.5000 0.0000 0.6661 x2  12 Cu 2.55-2.63
Cu: 0.5000 0.2486 0.9149 x4  12 Cu 2.55-2.64
Au: 0.0000 0.0000 0.4998 x2  10 Cu 2.61-2.67, 2 Zn 2.62

Properties
Total moment: 0.00 μB/cell
E_form: -0.0133 eV per atom
E: -124.22 eV/cell

---

[3]
A relaxed structure of Zn3Cu7Au, computed with PBE.

a = 8.3758 Å, b = 8.6791 Å, c = 4.8668 Å
α = 90.00°, β = 113.84°, γ = 90.00°
Closest atoms and distances in Å follow each position.
Space group C2/m (No. 12)
Unique sites:
Zn: 0.0000 0.0000 0.0000 x2  6 Cu 2.46-2.51
Zn: 0.0000 0.2124 0.5000 x4  7 Cu 2.50-2.53
Cu: 0.0000 0.5000 0.5000 x2  2 Au 2.43, 2 Zn 2.50, 2 Cu 2.50
Cu: 0.1784 0.2403 0.1891 x8  3 Zn 2.51-2.53, 5 Cu 2.58-2.81, 1 Au 2.65
Cu: 0.2091 0.0000 0.5294 x4  3 Zn 2.46-2.51, 5 Cu 2.50-2.61, 1 Au 2.58
Au: 0.0000 0.5000 0.0000 x2  8 Cu 2.43-2.65

Properties
Total moment: 0.00 μB/cell
E_form: 0.1423 eV per atom
E: -68.41 eV/cell

---

[4]
A relaxed structure of Zn4Cu3Au3, computed with PBE.

a = 8.5857 Å, b = 8.5857 Å, c = 8.5857 Å
α = 90.00°, β = 90.00°, γ = 90.00°
Closest atoms and distances in Å follow each position.
Space group I-43d (No. 220)
Unique sites:
Zn: 0.1133 0.3867 0.6133 x16  3 Cu 2.55, 3 Au 2.72
Cu: 0.0000 0.2500 0.3750 x12  4 Zn 2.55, 4 Au 2.63
Au: 0.0000 0.2500 0.8750 x12  4 Cu 2.63, 4 Zn 2.72

Properties
Total moment: 0.00 μB/cell
E_form: -0.0309 eV per atom
E: -110.10 eV/cell

---

[5]
A relaxed structure of Zn3CuAu7, computed with PBE.

a = 9.0264 Å, b = 9.6117 Å, c = 5.1118 Å
α = 90.00°, β = 116.22°, γ = 90.00°
Closest atoms and distances in Å follow each position.
Space group C2/m (No. 12)
Unique sites:
Zn: 0.0000 0.0000 0.0000 x2  6 Au 2.68
Zn: 0.0000 0.2274 0.5000 x4  7 Au 2.62-2.71
Cu: 0.0000 0.5000 0.0000 x2  4 Au 2.56-2.68
Au: 0.0000 0.5000 0.5000 x2  2 Cu 2.56, 2 Zn 2.62
Au: 0.1703 0.2385 0.1775 x8  3 Zn 2.68-2.71, 4 Au 2.78-2.97, 1 Cu 2.88
Au: 0.1888 0.0000 0.5775 x4  3 Zn 2.68-2.69, 1 Cu 2.68, 2 Au 2.85

Properties
Total moment: 0.00 μB/cell
E_form: -0.0307 eV per atom
E: -62.39 eV/cell

---

[6]
A relaxed structure of Zn2Cu4Au5, computed with PBE.

a = 7.1207 Å, b = 16.3870 Å, c = 2.9375 Å
α = 90.00°, β = 90.00°, γ = 90.00°
Closest atoms and distances in Å follow each position.
Space group Pbam (No. 55)
Unique sites:
Zn: 0.0106 0.1966 0.0000 x4  6 Au 2.64-2.70, 3 Cu 2.68-2.89, 2 Zn 2.94
Cu: 0.1022 0.6435 0.0000 x4  6 Au 2.70-2.87, 2 Zn 2.74-2.89, 2 Cu 2.94
Cu: 0.2100 0.9359 0.0000 x4  1 Zn 2.68, 8 Au 2.70-2.81, 2 Cu 2.94
Au: 0.0000 0.5000 0.5000 x2  8 Cu 2.74-2.87, 4 Au 2.90-2.94
Au: 0.1267 0.0704 0.5000 x4  2 Zn 2.67, 6 Cu 2.71-2.81, 4 Au 2.90-2.94
Au: 0.1925 0.3046 0.5000 x4  4 Zn 2.64-2.70, 4 Cu 2.70, 2 Au 2.94

Properties
Total moment: 0.00 μB/cell
E_form: -0.0672 eV per atom
Excess energy over the best structure of this formula in the dataset: 0 meV/atom
E: -72.12 eV/cell

---

[7]
A relaxed structure of Zn3Cu2Au6, computed with PBE.

a = 3.8703 Å, b = 3.8703 Å, c = 26.1210 Å
α = 90.00°, β = 90.00°, γ = 90.00°
Closest atoms and distances in Å follow each position.
Space group I4/mmm (No. 139)
Unique sites:
Zn: 0.0000 0.0000 0.0000 x2  8 Cu 2.97
Zn: 0.0000 0.0000 0.1905 x4  9 Au 2.56-2.79
Cu: 0.0000 0.0000 0.4557 x4  1 Cu 2.31
Au: 0.0000 0.0000 0.2887 x4  5 Zn 2.56-2.79
Au: 0.0000 0.5000 0.1150 x8  2 Cu 2.68, 4 Au 2.74, 2 Zn 2.76

Properties
Total moment: 0.00 μB/cell
E_form: 0.0591 eV per atom
Excess energy over the best structure of this formula in the dataset: 32 meV/atom
E: -62.06 eV/cell

---

[8]
A relaxed structure of Zn3Cu2Au6, computed with PBE.

a = 3.9011 Å, b = 3.9011 Å, c = 26.1088 Å
α = 90.00°, β = 90.00°, γ = 90.00°
Closest atoms and distances in Å follow each position.
Space group I4/mmm (No. 139)
Unique sites:
Zn: 0.0000 0.0000 0.0000 x2  8 Au 2.75
Zn: 0.0000 0.0000 0.1532 x4  5 Au 2.58-2.84, 4 Cu 2.76
Cu: 0.0000 0.0000 0.3506 x4  5 Au 2.58-2.76, 4 Zn 2.76
Au: 0.0000 0.0000 0.2519 x4  1 Cu 2.58, 1 Zn 2.58, 4 Au 2.76
Au: 0.0000 0.5000 0.0744 x8  4 Zn 2.75-2.84, 4 Au 2.76, 2 Cu 2.76

Properties
Total moment: 0.00 μB/cell
E_form: 0.0275 eV per atom
Excess energy over the best structure of this formula in the dataset: 0 meV/atom
E: -62.75 eV/cell

---

[9]
A relaxed structure of Zn4Cu6Au, computed with PBE.

a = 6.7312 Å, b = 6.7312 Å, c = 4.0643 Å
α = 90.00°, β = 90.00°, γ = 120.00°
Closest atoms and distances in Å follow each position.
Space group P-6 (No. 174)
Unique sites:
Zn: 0.0000 0.0000 0.0000 x1  9 Cu 2.52-2.58
Zn: 0.4530 0.3992 0.5000 x3  7 Cu 2.43-2.65
Cu: 0.0401 0.2379 0.5000 x3  5 Zn 2.43-2.57, 4 Cu 2.48-2.57
Cu: 0.4335 0.1364 0.0000 x3  4 Cu 2.48-2.53, 5 Zn 2.52-2.65
Au: 0.3333 0.6667 0.0000 x1  3 Cu 2.88, 6 Zn 3.08

Properties
Total moment: 0.00 μB/cell
E_form: 0.0787 eV per atom
Excess energy over the best structure of this formula in the dataset: 0 meV/atom
E: -32.08 eV/cell

---

[10]
A relaxed structure of Zn7Cu2Au, computed with PBE.

a = 4.2484 Å, b = 4.2484 Å, c = 10.3116 Å
α = 90.00°, β = 90.00°, γ = 120.00°
Closest atoms and distances in Å follow each position.
Space group P3m1 (No. 156)
Unique sites:
Zn: 0.0000 0.0000 0.0000 x1  4 Cu 2.40-2.66, 1 Zn 2.59
Zn: 0.0000 0.0000 0.2511 x1  7 Zn 2.59-2.73
Zn: 0.0000 0.0000 0.5333 x1  1 Cu 2.41, 3 Au 2.68
Zn: 0.3333 0.6667 0.1347 x1  3 Cu 2.48, 3 Zn 2.73
Zn: 0.3333 0.6667 0.6948 x1  3 Cu 2.56, 1 Au 2.75
Zn: 0.6667 0.3333 0.3483 x1  1 Cu 2.57, 3 Au 2.59, 3 Zn 2.65
Zn: 0.6667 0.3333 0.8458 x1  4 Cu 2.58-2.61
Cu: 0.0000 0.0000 0.7670 x1  8 Zn 2.40-2.58
Cu: 0.6667 0.3333 0.0986 x1  8 Zn 2.48-2.66
Au: 0.3333 0.6667 0.4278 x1  7 Zn 2.59-2.75

Properties
Total moment: 0.00 μB/cell
E_form: -0.0148 eV per atom
E: -20.54 eV/cell

---

[11]
A relaxed structure of Zn2Cu3Au3, computed with PBE.

a = 6.8142 Å, b = 6.8142 Å, c = 9.2182 Å
α = 90.00°, β = 90.00°, γ = 120.00°
Closest atoms and distances in Å follow each position.
Space group R32 (No. 155, hexagonal axes)
Unique sites:
Zn: 0.0000 0.0000 0.2436 x6  6 Au 2.70-2.85, 6 Cu 2.81
Cu: 0.0000 0.2239 0.5000 x9  2 Au 2.50, 2 Cu 2.64
Au: 0.0000 0.7430 0.0000 x9  2 Cu 2.50, 2 Zn 2.70

Properties
Total moment: 0.00 μB/cell
E_form: -0.0262 eV per atom
Excess energy over the best structure of this formula in the dataset: 76 meV/atom
E: -74.63 eV/cell

---

[12]
A relaxed structure of Zn8CuAu3, computed with PBE.

a = 6.9095 Å, b = 6.9095 Å, c = 9.2646 Å
α = 90.00°, β = 90.00°, γ = 90.00°
Closest atoms and distances in Å follow each position.
Space group I-42m (No. 121)
Unique sites:
Zn: 0.1350 0.1350 0.2231 x8  1 Cu 2.45, 3 Zn 2.49-2.67, 2 Au 2.70
Zn: 0.2391 0.2391 0.9571 x8  1 Cu 2.37, 1 Zn 2.49, 1 Au 2.58
Cu: 0.0000 0.0000 0.0000 x2  8 Zn 2.37-2.45
Au: 0.0000 0.0000 0.5000 x2  8 Zn 2.58-2.88
Au: 0.0000 0.5000 0.2500 x4  4 Zn 2.70

Properties
Total moment: 0.00 μB/cell
E_form: 0.0343 eV per atom
Excess energy over the best structure of this formula in the dataset: 149 meV/atom
E: -47.42 eV/cell